# 1
Below is BaRu after structural relaxation, with properties calculated at the PBE level.

## Properties
Formation energy, eV per atom: 0.61
Crystal system: orthorhombic

Structure (extended XYZ):
```
4
Lattice="-2.145 -1.588 -1.980 2.526 -2.905 -0.407 -3.784 -4.353 7.591" Properties=species:S:1:pos:R:3 pbc="T T T"
Ba -0.498 -0.573 0.999
Ba -2.465 -5.301 4.133
Ru -0.197 -3.132 2.725
Ru -2.766 -2.742 2.407
```

# 2
Below is Ba3Ru after structural relaxation, with properties calculated at the PBE level.

## Properties
Formation energy, eV per atom: 0.40
Crystal system: hexagonal

Structure (extended XYZ):
```
8
Lattice="-9.184 -2.023 -4.790 6.678 -7.884 2.152 -1.860 -0.540 3.794" Properties=species:S:1:pos:R:3 pbc="T T T"
Ru -5.291 -4.382 0.369
Ba -2.947 -2.669 -0.629
Ru 0.926 -6.065 0.786
Ba 1.915 -7.044 3.523
Ba -1.418 -7.778 1.784
Ba -6.280 -3.403 -2.367
Ba -3.857 -6.263 -1.587
Ba -0.509 -4.183 2.742
```

# 3
Below is BaRu after structural relaxation, with properties calculated at the PBE level.

## Properties
Formation energy, eV per atom: 0.39
Crystal system: orthorhombic

Structure (extended XYZ):
```
4
Lattice="7.176 0.676 -0.103 3.708 6.181 0.103 -5.087 -3.992 3.186" Properties=species:S:1:pos:R:3 pbc="T T T"
Ba 3.693 0.011 1.542
Ru 4.526 2.852 0.000
Ba 0.072 0.046 0.000
Ru 2.947 3.386 1.645
```